Entry 1:
# Nd2Y7Ho3 | the Alexandria database | PBE-GGA | optimized geometry
# Relative energy among the computed polymorphs = 0.797 eV/f.u.
# Calculated volume = 798.50 Å³ per cell
# E_form = 15 kJ/mol of atoms
# DOS at the Fermi energy = 1.76 states/eV/atom
data_Nd2Y7Ho3
_space_group_name_H-M_alt 'C m m m'
_space_group_IT_number 65
_space_group_name_Hall '-C 2 2'
_cell_length_a 5.849
_cell_length_b 37.825
_cell_length_c 3.609
_cell_angle_alpha 90.00
_cell_angle_beta 90.00
_cell_angle_gamma 90.00
loop_
_atom_site_label
_atom_site_fract_x
_atom_site_fract_y
_atom_site_fract_z
Nd1 0.000 0.175 0.000
Y1 0.000 0.000 0.000
Y2 0.000 0.089 0.500
Y3 0.000 0.272 0.000
Y4 0.000 0.428 0.000
Ho1 0.000 0.351 0.500
Ho2 0.000 0.500 0.500

***

Entry 2:
# NdY3Ho7 | the Alexandria database | PBE-GGA | optimized geometry
# Relative energy among the computed polymorphs = 0.000 eV/f.u.
# Calculated volume = 358.92 Å³ per cell
# E_form = 15 kJ/mol of atoms
# DOS at the Fermi energy = 1.65 states/eV/atom
data_NdY3Ho7
_space_group_name_H-M_alt 'P 1 2/m 1'
_space_group_IT_number 10
_cell_length_a 6.975
_cell_length_b 5.541
_cell_length_c 9.897
_cell_angle_alpha 90.00
_cell_angle_beta 110.23
_cell_angle_gamma 90.00
loop_
_space_group_symop_operation_xyz
'x,y,z'
'-x,-y,-z'
'-x,y,-z'
'x,-y,z'
loop_
_atom_site_label
_atom_site_fract_x
_atom_site_fract_y
_atom_site_fract_z
Nd1 0.000 0.000 0.000
Y1 0.278 0.500 0.498
Y2 0.500 0.000 0.000
Ho1 0.000 0.000 0.500
Ho2 0.147 0.500 0.791
Ho3 0.324 0.500 0.143
Ho4 0.420 0.000 0.331

***

Entry 3:
# Nd3Y2Ho3 | the Alexandria database | PBE-GGA | optimized geometry
# Relative energy among the computed polymorphs = 0.000 eV/f.u.
# Calculated volume = 526.07 Å³ per cell
# E_form = 2 kJ/mol of atoms
# DOS at the Fermi energy = 1.54 states/eV/atom
data_Nd3Y2Ho3
_space_group_name_H-M_alt 'I m m m'
_space_group_IT_number 71
_space_group_name_Hall '-I 2 2'
_cell_length_a 5.074
_cell_length_b 5.091
_cell_length_c 20.365
_cell_angle_alpha 90.00
_cell_angle_beta 90.00
_cell_angle_gamma 90.00
loop_
_atom_site_label
_atom_site_fract_x
_atom_site_fract_y
_atom_site_fract_z
Nd1 0.000 0.000 0.000
Nd2 0.000 0.500 0.124
Y1 0.000 0.000 0.249
Ho1 0.000 0.000 0.500
Ho2 0.000 0.500 0.374

***

Entry 4:
# Nd8Y6Ho | the Alexandria database | PBE-GGA | optimized geometry
# Calculated volume = 1535.62 Å³ per cell
# E_form = 11 kJ/mol of atoms
# DOS at the Fermi energy = 1.60 states/eV/atom
data_Nd8Y6Ho
_space_group_name_H-M_alt 'R -3'
_space_group_IT_number 148
_space_group_name_Hall '-R 3'
_cell_length_a 9.1874
_cell_length_b 9.1874
_cell_length_c 21.0073
_cell_angle_alpha 90.00
_cell_angle_beta 90.00
_cell_angle_gamma 120.00
loop_
_atom_site_label
_atom_site_fract_x
_atom_site_fract_y
_atom_site_fract_z
Nd1 0.0000 0.0000 0.0774
Nd2 0.0809 0.5226 0.3065
Y1 0.0468 0.8017 0.2056
Ho1 0.0000 0.0000 0.5000

***

Entry 5:
# Nd6YHo5 | the Alexandria database | PBE-GGA | optimized geometry
# Relative energy among the computed polymorphs = 0.058 eV/f.u.
# Calculated volume = 795.97 Å³ per cell
# E_form = 2 kJ/mol of atoms
# DOS at the Fermi energy = 1.35 states/eV/atom
data_Nd6YHo5
_space_group_name_H-M_alt 'I m m m'
_space_group_IT_number 71
_space_group_name_Hall '-I 2 2'
_cell_length_a 5.130
_cell_length_b 10.115
_cell_length_c 15.340
_cell_angle_alpha 90.00
_cell_angle_beta 90.00
_cell_angle_gamma 90.00
loop_
_atom_site_label
_atom_site_fract_x
_atom_site_fract_y
_atom_site_fract_z
Nd1 0.000 0.249 0.000
Nd2 0.000 0.251 0.333
Y1 0.000 0.000 0.500
Ho1 0.000 0.000 0.167
Ho2 0.000 0.500 0.167
Ho3 0.000 0.500 0.500

***

Entry 6:
# Nd4YHo7 | the Alexandria database | PBE-GGA | optimized geometry
# Relative energy among the computed polymorphs = 2.198 eV/f.u.
# Calculated volume = 811.56 Å³ per cell
# E_form = 26 kJ/mol of atoms
# DOS at the Fermi energy = 1.67 states/eV/atom
data_Nd4YHo7
_space_group_name_H-M_alt 'C 1 2/m 1'
_space_group_IT_number 12
_cell_length_a 12.140
_cell_length_b 5.920
_cell_length_c 12.816
_cell_angle_alpha 90.00
_cell_angle_beta 118.22
_cell_angle_gamma 90.00
loop_
_space_group_symop_operation_xyz
'x,y,z'
'-x,-y,-z'
'-x,y,-z'
'x,-y,z'
'x+1/2,y+1/2,z'
'-x+1/2,-y+1/2,-z'
'-x+1/2,y+1/2,-z'
'x+1/2,-y+1/2,z'
loop_
_atom_site_label
_atom_site_fract_x
_atom_site_fract_y
_atom_site_fract_z
Nd1 0.057 0.000 0.332
Nd2 0.138 0.500 0.778
Y1 0.000 0.500 0.000
Ho1 0.000 0.000 0.000
Ho2 0.137 0.500 0.505
Ho3 0.211 0.000 0.923
Ho4 0.246 0.500 0.314

***

Entry 7:
# Nd12Y2Ho | the Alexandria database | PBE-GGA | optimized geometry
# Calculated volume = 2110.45 Å³ per cell
# E_form = 15 kJ/mol of atoms
# DOS at the Fermi energy = 1.49 states/eV/atom
data_Nd12Y2Ho
_space_group_name_H-M_alt 'C m m e'
_space_group_IT_number 67
_space_group_name_Hall '-C 2a 2'
_cell_length_a 7.233
_cell_length_b 11.665
_cell_length_c 25.011
_cell_angle_alpha 90.00
_cell_angle_beta 90.00
_cell_angle_gamma 90.00
loop_
_atom_site_label
_atom_site_fract_x
_atom_site_fract_y
_atom_site_fract_z
Nd1 0.000 0.002 0.073
Nd2 0.000 0.024 0.560
Nd3 0.231 0.250 0.415
Nd4 0.248 0.250 0.871
Nd5 0.250 0.000 0.198
Nd6 0.250 0.000 0.324
Y1 0.000 0.250 0.266
Y2 0.000 0.250 0.729
Ho1 0.000 0.250 0.999

***

Entry 8:
# NdY2Ho6 | the Alexandria database | PBE-GGA | optimized geometry
# Relative energy among the computed polymorphs = 0.000 eV/f.u.
# Calculated volume = 570.38 Å³ per cell
# E_form = 7 kJ/mol of atoms
# DOS at the Fermi energy = 1.69 states/eV/atom
data_NdY2Ho6
_space_group_name_H-M_alt 'C m m m'
_space_group_IT_number 65
_space_group_name_Hall '-C 2 2'
_cell_length_a 5.611
_cell_length_b 29.096
_cell_length_c 3.493
_cell_angle_alpha 90.00
_cell_angle_beta 90.00
_cell_angle_gamma 90.00
loop_
_atom_site_label
_atom_site_fract_x
_atom_site_fract_y
_atom_site_fract_z
Nd1 0.000 0.000 0.000
Y1 0.000 0.333 0.000
Ho1 0.000 0.112 0.500
Ho2 0.000 0.223 0.500
Ho3 0.000 0.444 0.500

***

Question: Among the records above, which one has the highest calculated volume?
Answer: Nd12Y2Ho

***

Question: Number 8 is which compound?
Answer: NdY2Ho6

***

Question: What is the formula in the third record?
Answer: Nd3Y2Ho3

***

Question: Look up the DOS at the Fermi energy of the second one.
Answer: 1.65 states/eV/atom